DFT (PBE+U) results for a geometry-optimized Fe2Bi2O structure.

extended XYZ file:
```
5
Lattice="-5.020 -1.801 2.608 2.869 -4.658 2.306 -0.310 -1.403 5.194" Properties=species:S:1:pos:R:3 pbc="T T T"
Fe -0.727 -2.398 3.703
Bi 0.742 -4.645 4.979
Fe -1.734 -5.464 6.405
Bi -3.203 -3.217 5.129
O 0.000 0.000 0.000
```

Its space group is No. 139. The energy above the lowest structure with this stoichiometry is 168 meV per atom.